Computed, not measured: crystalline AlGaO3 at its relaxed geometry at the PBE level of DFT.

Lattice parameters (Å, degrees): 5.334 2.942 7.334 90.00 105.88 90.00
Fractional coordinates of all 10 atoms:
Al  0.219  0.250  0.124
Al  0.781  0.750  0.876
Ga  0.218  0.250  0.661
Ga  0.782  0.750  0.339
O  0.044  0.250  0.865
O  0.218  0.750  0.517
O  0.430  0.750  0.169
O  0.570  0.250  0.831
O  0.782  0.250  0.483
O  0.956  0.750  0.135

* total magnetic moment: 0.00 μB/atom
* ΔE_f (raw): -11.3 eV/f.u.
* space-group type: No. 11



Computed, not measured: crystalline Tb2Nd8Sc3 at its relaxed geometry at the PBE level of DFT.

Lattice parameters (Å, degrees): 8.813 8.813 6.000 107.16 107.16 81.18
Fractional coordinates of all 13 atoms:
Tb  0.183  0.183  0.325
Tb  0.817  0.817  0.675
Nd  0.085  0.085  0.759
Nd  0.111  0.580  0.354
Nd  0.364  0.364  0.883
Nd  0.420  0.889  0.646
Nd  0.580  0.111  0.354
Nd  0.636  0.636  0.117
Nd  0.889  0.420  0.646
Nd  0.915  0.915  0.241
Sc  0.232  0.768  0.000
Sc  0.500  0.500  0.500
Sc  0.768  0.232  0.000

* total magnetic moment: 0.00 μB/atom
* space-group type: No. 12
* energy relative to the lowest polymorph listed for this composition: 0 meV per atom
* DFT formation energy: 178 meV/atom



Computed, not measured: crystalline LiFe3Bi at its relaxed geometry at the PBE level of DFT.

Lattice parameters (Å, degrees): 4.264 4.264 4.264 90.00 90.00 90.00
Fractional coordinates of all 5 atoms:
Li  0.000  0.000  0.000
Fe  0.000  0.000  0.500
Fe  0.000  0.500  0.000
Fe  0.500  0.000  0.000
Bi  0.500  0.500  0.500

* total magnetic moment: 1.60 μB/atom
* space-group type: No. 221
* energy relative to the lowest polymorph listed for this composition: 0 meV per atom
* DFT formation energy: 888 meV/atom



Computed, not measured: crystalline ScTe2AuI at its relaxed geometry at the PBE level of DFT.

Lattice parameters (Å, degrees): 5.505 5.505 5.389 90.00 90.00 90.00
Fractional coordinates of all 5 atoms:
Sc  0.000  0.000  0.000
Te  0.000  0.500  0.500
Te  0.500  0.000  0.500
Au  0.500  0.500  0.500
I  0.500  0.500  0.000

* total magnetic moment: 0.03 μB/atom
* ΔE_f (raw): 1.0 eV/f.u.
* space-group type: No. 123
* energy relative to the lowest polymorph listed for this composition: 198 meV per atom



Computed, not measured: crystalline Dy2ErFe at its relaxed geometry at the PBE level of DFT.

Lattice parameters (Å, degrees): 10.722 10.722 10.722 18.49 18.49 18.49
Fractional coordinates of all 4 atoms:
Dy  0.108  0.108  0.108
Dy  0.892  0.892  0.892
Er  0.000  0.000  0.000
Fe  0.500  0.500  0.500

* total magnetic moment: 0.16 μB/atom
* space-group type: No. 166
* energy relative to the lowest polymorph listed for this composition: 360 meV per atom
* DFT formation energy: 343 meV/atom



Computed, not measured: crystalline TlCuPdAu at its relaxed geometry at the PBE level of DFT.

Lattice parameters (Å, degrees): 4.611 4.611 4.611 60.00 60.00 60.00
Fractional coordinates of all 4 atoms:
Tl  0.000  0.000  0.000
Cu  0.750  0.750  0.750
Pd  0.250  0.250  0.250
Au  0.500  0.500  0.500

* total magnetic moment: 0.00 μB/atom
* space-group type: No. 216
* DFT formation energy: 12 meV/atom



Computed, not measured: crystalline Nd3Y3Er at its relaxed geometry at the PBE level of DFT.

Lattice parameters (Å, degrees): 14.894 14.894 14.894 24.27 24.27 24.27
Fractional coordinates of all 14 atoms:
Nd  0.131  0.462  0.800
Nd  0.200  0.869  0.538
Nd  0.462  0.800  0.131
Nd  0.538  0.200  0.869
Nd  0.800  0.131  0.462
Nd  0.869  0.538  0.200
Y  0.064  0.731  0.397
Y  0.269  0.603  0.936
Y  0.397  0.064  0.731
Y  0.603  0.936  0.269
Y  0.731  0.397  0.064
Y  0.936  0.269  0.603
Er  0.333  0.333  0.333
Er  0.667  0.667  0.667

* total magnetic moment: 0.00 μB/atom
* space-group type: No. 148
* energy relative to the lowest polymorph listed for this composition: 0 meV per atom
* DFT formation energy: 168 meV/atom



Computed, not measured: crystalline Ca2YGa6 at its relaxed geometry at the PBE level of DFT.

Lattice parameters (Å, degrees): 7.422 7.422 4.208 90.00 90.00 120.00
Fractional coordinates of all 9 atoms:
Ca  0.333  0.667  0.000
Ca  0.667  0.333  0.000
Y  0.000  0.000  0.000
Ga  0.000  0.332  0.500
Ga  0.000  0.668  0.500
Ga  0.332  0.000  0.500
Ga  0.332  0.332  0.500
Ga  0.668  0.000  0.500
Ga  0.668  0.668  0.500

* total magnetic moment: 0.00 μB/atom
* space-group type: No. 191
* DFT formation energy: -534 meV/atom